## PmTm3Pd4 (PBE)

Data for crystalline PmTm3Pd4 at its relaxed geometry.

Formation energy (meV per atom): -891
Final energy (eV for the cell shown): -92.13
Total magnetic moment (μB per atom): 0.0000
DOS at the Fermi energy (states/eV/atom): 0.530

a = 9.971 Å, b = 6.882 Å, c = 4.983 Å
α = 90.00°, β = 90.00°, γ = 90.00°
Space group Pmma (No. 51)
Unique sites:
Pm (0.000, 0.000, 0.000)
Tm (0.000, 0.500, 0.000)
Tm (0.250, 0.000, 0.500)
Tm (0.250, 0.500, 0.499)
Pd (0.000, 0.260, 0.500)
Pd (0.250, 0.260, 0.999)